<A>
Material: Lu2Co2O5
Method: DFT, GGA+U
State: relaxed

The structure in CIF format:
```
data_Lu2Co2O5
_space_group_name_H-M_alt 'P 4/m m m'
_space_group_IT_number 123
_space_group_name_Hall '-P 4 2'
_cell_length_a 3.7588
_cell_length_b 3.7588
_cell_length_c 6.7077
_cell_angle_alpha 90.00
_cell_angle_beta 90.00
_cell_angle_gamma 90.00
loop_
_atom_site_label
_atom_site_fract_x
_atom_site_fract_y
_atom_site_fract_z
Lu1 0.0000 0.0000 0.0000
Lu2 0.0000 0.0000 0.5000
Co1 0.5000 0.5000 0.2016
O1 0.0000 0.5000 0.2166
O2 0.5000 0.5000 0.5000
```

The calculation puts the magnetic moment at 0.000 μB/f.u.

***

<B>
Material: Lu2Co2O5
Method: DFT, GGA+U
State: relaxed

The structure in CIF format:
```
data_Lu2Co2O5
_space_group_name_H-M_alt 'P 4/m m m'
_space_group_IT_number 123
_space_group_name_Hall '-P 4 2'
_cell_length_a 3.8231
_cell_length_b 3.8231
_cell_length_c 8.3354
_cell_angle_alpha 90.00
_cell_angle_beta 90.00
_cell_angle_gamma 90.00
loop_
_atom_site_label
_atom_site_fract_x
_atom_site_fract_y
_atom_site_fract_z
Lu1 0.0000 0.0000 0.2463
Co1 0.5000 0.5000 0.0000
Co2 0.5000 0.5000 0.5000
O1 0.0000 0.0000 0.5000
O2 0.0000 0.5000 0.1482
```

The calculation puts the magnetic moment at 4.035 μB/f.u.

***

Computed energies relative to the best structure, in meV/atom: <A> 0; <B> 299